Entry 1:
# NdGdHoZr (PBE-GGA, relaxed)
data_NdGdHoZr
_space_group_name_H-M_alt 'F -4 3 m'
_space_group_IT_number 216
_space_group_name_Hall 'F -4 2 3'
_cell_length_a 7.8393
_cell_length_b 7.8393
_cell_length_c 7.8393
_cell_angle_alpha 90.00
_cell_angle_beta 90.00
_cell_angle_gamma 90.00
loop_
_atom_site_label
_atom_site_fract_x
_atom_site_fract_y
_atom_site_fract_z
Nd1 0.0000 0.0000 0.0000
Gd1 0.2500 0.2500 0.2500
Ho1 0.2500 0.2500 0.7500
Zr1 0.0000 0.0000 0.5000
# - calculated volume (Å³/cell) = 481.8
# - energy of formation from the pure elements (kJ/mol of atoms) = 21.02



Entry 2:
# Ni2SbW (PBE-GGA, relaxed)
data_Ni2SbW
_space_group_name_H-M_alt 'I 4/m m m'
_space_group_IT_number 139
_space_group_name_Hall '-I 4 2'
_cell_length_a 3.9753
_cell_length_b 3.9753
_cell_length_c 7.4008
_cell_angle_alpha 90.00
_cell_angle_beta 90.00
_cell_angle_gamma 90.00
loop_
_atom_site_label
_atom_site_fract_x
_atom_site_fract_y
_atom_site_fract_z
Ni1 0.0000 0.5000 0.2500
Sb1 0.0000 0.0000 0.0000
W1 0.0000 0.0000 0.5000
# - calculated volume (Å³/cell) = 117.0
# - formation energy (no corrections) (meV per atom) = 328



Entry 3:
# Pm6SiN3 (PBE-GGA, relaxed)
data_Pm6SiN3
_space_group_name_H-M_alt 'P 1 21/m 1'
_space_group_IT_number 11
_cell_length_a 10.8600
_cell_length_b 3.6677
_cell_length_c 12.5638
_cell_angle_alpha 90.00
_cell_angle_beta 114.08
_cell_angle_gamma 90.00
loop_
_space_group_symop_operation_xyz
'x,y,z'
'-x,-y,-z'
'-x,y+1/2,-z'
'x,-y+1/2,z'
loop_
_atom_site_label
_atom_site_fract_x
_atom_site_fract_y
_atom_site_fract_z
Pm1 0.0240 0.2500 0.2796
Pm2 0.1498 0.2500 0.5777
Pm3 0.1577 0.7500 0.1085
Pm4 0.3144 0.7500 0.4131
Pm5 0.3544 0.7500 0.9234
Pm6 0.4649 0.2500 0.2336
Si1 0.1288 0.2500 0.9145
N1 0.0904 0.7500 0.4347
N2 0.2502 0.2500 0.2682
N3 0.4954 0.2500 0.8769
# - calculated volume (Å³/cell) = 456.9
# - formation energy (no corrections) (meV per atom) = -912



Entry 4:
# Li2InSb (PBE-GGA, relaxed)
data_Li2InSb
_space_group_name_H-M_alt 'I -4 m 2'
_space_group_IT_number 119
_space_group_name_Hall 'I -4 -2'
_cell_length_a 4.3306
_cell_length_b 4.3306
_cell_length_c 9.1961
_cell_angle_alpha 90.00
_cell_angle_beta 90.00
_cell_angle_gamma 90.00
loop_
_atom_site_label
_atom_site_fract_x
_atom_site_fract_y
_atom_site_fract_z
Li1 0.0000 0.0000 0.0000
Li2 0.0000 0.5000 0.2500
In1 0.0000 0.0000 0.5000
Sb1 0.0000 0.5000 0.7500
# - calculated volume (Å³/cell) = 172.5
# - formation energy (no corrections) (meV per atom) = -330



Entry 5:
# BPHAu (PBE-GGA, relaxed)
data_BPHAu
_space_group_name_H-M_alt 'C 1 m 1'
_space_group_IT_number 8
_cell_length_a 5.5527
_cell_length_b 3.2081
_cell_length_c 6.2987
_cell_angle_alpha 90.00
_cell_angle_beta 106.95
_cell_angle_gamma 90.00
loop_
_space_group_symop_operation_xyz
'x,y,z'
'x,-y,z'
'x+1/2,y+1/2,z'
'x+1/2,-y+1/2,z'
loop_
_atom_site_label
_atom_site_fract_x
_atom_site_fract_y
_atom_site_fract_z
B1 0.0000 0.0000 0.0000
P1 0.1984 0.5000 0.0960
H1 0.4307 0.5000 0.7864
Au1 0.3281 0.5000 0.4863
# - energy relative to the lowest polymorph listed for this composition (eV/f.u.) = 0.00
# - calculated volume (Å³/cell) = 107.3



Entry 6:
# KHfGa (PBE-GGA, relaxed)
data_KHfGa
_space_group_name_H-M_alt 'P n m a'
_space_group_IT_number 62
_cell_length_a 8.6431
_cell_length_b 4.6918
_cell_length_c 8.1845
_cell_angle_alpha 90.00
_cell_angle_beta 90.00
_cell_angle_gamma 90.00
loop_
_space_group_symop_operation_xyz
'x,y,z'
'-x,-y,-z'
'-x+1/2,-y,z+1/2'
'x+1/2,y,-z+1/2'
'x+1/2,-y+1/2,-z+1/2'
'-x+1/2,y+1/2,z+1/2'
'-x,y+1/2,-z'
'x,-y+1/2,z'
loop_
_atom_site_label
_atom_site_fract_x
_atom_site_fract_y
_atom_site_fract_z
K1 0.0005 0.2500 0.1332
Hf1 0.1078 0.2500 0.5559
Ga1 0.1891 0.7500 0.3528
# - energy relative to the lowest polymorph listed for this composition (eV/f.u.) = 1.20
# - calculated volume (Å³/cell) = 331.9
# - energy of formation from the pure elements (kJ/mol of atoms) = 31.03



Entry 7:
# AuBr2Cl2 (PBE-GGA, relaxed)
data_AuBr2Cl2
_space_group_name_H-M_alt 'P 4/m b m'
_space_group_IT_number 127
_space_group_name_Hall '-P 4 2ab'
_cell_length_a 6.9687
_cell_length_b 6.9687
_cell_length_c 7.7658
_cell_angle_alpha 90.00
_cell_angle_beta 90.00
_cell_angle_gamma 90.00
loop_
_atom_site_label
_atom_site_fract_x
_atom_site_fract_y
_atom_site_fract_z
Au1 0.0000 0.0000 0.0000
Br1 0.1722 0.3278 0.0000
Cl1 0.1012 0.6012 0.5000
# - calculated volume (Å³/cell) = 377.1
# - formation energy (no corrections) (meV per atom) = -14



Entry 8:
# La3Ga2Sn2 (PBE-GGA, relaxed)
data_La3Ga2Sn2
_space_group_name_H-M_alt 'I m m m'
_space_group_IT_number 71
_space_group_name_Hall '-I 2 2'
_cell_length_a 4.4201
_cell_length_b 4.6332
_cell_length_c 19.6625
_cell_angle_alpha 90.00
_cell_angle_beta 90.00
_cell_angle_gamma 90.00
loop_
_atom_site_label
_atom_site_fract_x
_atom_site_fract_y
_atom_site_fract_z
La1 0.0000 0.0000 0.0000
La2 0.0000 0.5000 0.3173
Ga1 0.0000 0.0000 0.4376
Sn1 0.0000 0.5000 0.1437
# - calculated volume (Å³/cell) = 402.7
# - energy of formation from the pure elements (kJ/mol of atoms) = -71.28



Entry 9:
# YReSiGe2 (PBE-GGA, relaxed)
data_YReSiGe2
_space_group_name_H-M_alt 'P 4/m m m'
_space_group_IT_number 123
_space_group_name_Hall '-P 4 2'
_cell_length_a 5.2985
_cell_length_b 5.2985
_cell_length_c 5.2035
_cell_angle_alpha 90.00
_cell_angle_beta 90.00
_cell_angle_gamma 90.00
loop_
_atom_site_label
_atom_site_fract_x
_atom_site_fract_y
_atom_site_fract_z
Y1 0.0000 0.0000 0.0000
Re1 0.0000 0.0000 0.5000
Si1 0.5000 0.5000 0.5000
Ge1 0.0000 0.5000 0.0000
# - calculated volume (Å³/cell) = 146.1
# - formation energy (no corrections) (meV per atom) = 1880



Entry 10:
# Zn2TeAs (PBE-GGA, relaxed)
data_Zn2TeAs
_space_group_name_H-M_alt 'I m m m'
_space_group_IT_number 71
_space_group_name_Hall '-I 2 2'
_cell_length_a 3.8681
_cell_length_b 5.8348
_cell_length_c 7.7451
_cell_angle_alpha 90.00
_cell_angle_beta 90.00
_cell_angle_gamma 90.00
loop_
_atom_site_label
_atom_site_fract_x
_atom_site_fract_y
_atom_site_fract_z
Zn1 0.0000 0.0000 0.2264
Te1 0.0000 0.5000 0.0000
As1 0.0000 0.5000 0.5000
# - energy relative to the lowest polymorph listed for this composition (eV/f.u.) = 1.47
# - calculated volume (Å³/cell) = 174.8
# - formation energy (no corrections) (meV per atom) = 190



Entry 11:
# Na3Tl3In2Hg (PBE-GGA, relaxed)
data_Na3Tl3In2Hg
_space_group_name_H-M_alt 'P -6 2 m'
_space_group_IT_number 189
_space_group_name_Hall 'P -6 -2'
_cell_length_a 9.2963
_cell_length_b 9.2963
_cell_length_c 3.3609
_cell_angle_alpha 90.00
_cell_angle_beta 90.00
_cell_angle_gamma 120.00
loop_
_atom_site_label
_atom_site_fract_x
_atom_site_fract_y
_atom_site_fract_z
Na1 0.0000 0.7072 0.0000
Tl1 0.0000 0.3644 0.5000
In1 0.3333 0.6667 0.0000
Hg1 0.0000 0.0000 0.5000
# - calculated volume (Å³/cell) = 251.5
# - energy of formation from the pure elements (kJ/mol of atoms) = -8.82



- The highest calculated volume belongs to which entry?
  NdGdHoZr



- The lowest calculated volume belongs to which entry?
  BPHAu



- Which formula does entry 11 have?
  Na3Tl3In2Hg



Please write out number 2 again, unchanged.
# Ni2SbW (PBE-GGA, relaxed)
data_Ni2SbW
_space_group_name_H-M_alt 'I 4/m m m'
_space_group_IT_number 139
_space_group_name_Hall '-I 4 2'
_cell_length_a 3.9753
_cell_length_b 3.9753
_cell_length_c 7.4008
_cell_angle_alpha 90.00
_cell_angle_beta 90.00
_cell_angle_gamma 90.00
loop_
_atom_site_label
_atom_site_fract_x
_atom_site_fract_y
_atom_site_fract_z
Ni1 0.0000 0.5000 0.2500
Sb1 0.0000 0.0000 0.0000
W1 0.0000 0.0000 0.5000
# - calculated volume (Å³/cell) = 117.0
# - formation energy (no corrections) (meV per atom) = 328